No. 1
Here is an optimized crystal structure of CuRe2Br from Alexandria. Energies are from GGA-PBE.

Results
space group: Cm, No. 8
crystal system: monoclinic

a b c (Å): 3.431 3.431 8.040
angles (deg): 85.37 85.37 57.86
Sites, in units of the cell vectors:
Re: 0.768 0.768 0.798
Cu: 0.373 0.373 0.208
Br: 0.297 0.297 0.520
Re: 0.063 0.063 0.974



No. 2
Here is an optimized crystal structure of CuRe2Br from Alexandria. Energies are from GGA-PBE.

Results
space group: Imm2, No. 44
crystal system: orthorhombic

a b c (Å): 5.709 5.709 5.709
angles (deg): 151.24 132.92 56.11
Sites, in units of the cell vectors:
Re: 0.761 0.261 0.500
Br: 0.530 0.530 0.000
Cu: 0.239 0.739 0.500
Re: 0.971 0.971 0.000



For the records above, the corresponding relative energy among the computed polymorphs values read 147, 593 meV per atom.
For the records above, the corresponding formation energy (no corrections) values read 237, 409 kJ/mol of formula units.